First-principles (GGA-PBE) data for Y2MnCl after structural relaxation, as listed in the Alexandria database.

a b c (Å): 6.681 6.681 6.681
angles (deg): 145.14 145.14 50.13
Last column: magnetic moment on the atom in μB.
Element x y z (fractional)
Y  0.250  0.750  0.500  -0.25
Y  0.000  0.000  0.000  -0.09
Mn  0.750  0.250  0.500  3.35
Cl  0.500  0.500  0.000  0.03

Output
Calculated total energy ... -6.089 eV/atom
Formation energy (no corrections) ... -103 meV per atom
Density of states at the Fermi level ... 5.7 states/eV/cell
Energy relative to the lowest polymorph listed for this composition ... 372 meV per atom